12
Lattice="-1.164 -2.629 5.305 2.792 -6.585 -2.650 3.836 4.757 3.199" Properties=species:S:1:pos:R:3 comment="AcTcGe3Ru (PBE, relaxed)" e_tot_ev_per_atom=-6.562 density_g_cm3=8.09 pbc="T T T"
Ge 3.121 -4.537 3.584
Ge 0.700 -1.650 -0.664
Ge 2.093 -4.934 -1.986
Ge 1.511 -6.249 0.667
Ge 0.118 -2.965 1.988
Ge 2.343 0.080 2.270
Ac 1.779 -1.229 4.929
Ac 3.685 -3.227 0.925
Ru 4.447 0.669 3.023
Ru 1.017 -5.126 2.831
Tc 0.240 -0.509 1.516
Tc 5.225 -3.948 4.337

4
Lattice="-2.607 -3.550 -2.728 2.312 -4.431 -1.362 -1.418 -4.454 2.232" Properties=species:S:1:pos:R:3 comment="AcYGeRu (PBE, relaxed)" e_tot_ev_per_atom=-6.369 density_g_cm3=8.27 pbc="T T T"
Ge -0.428 -3.109 -0.464
Y -0.856 -6.217 -0.929
Ru -1.285 -9.326 -1.393
Ac 0.000 0.000 0.000

14
Lattice="-2.359 -2.883 7.522 1.585 -6.449 -5.134 6.921 4.662 0.908" Properties=species:S:1:pos:R:3 comment="Ac8Ge5S (PBE, relaxed)" e_tot_ev_per_atom=-5.127 density_g_cm3=8.06 pbc="T T T"
Ac 4.383 -2.871 -2.501
Ac 2.965 -0.211 7.547
Ac 2.437 -0.626 0.981
Ac 5.990 -3.365 0.937
Ac 1.169 -2.031 4.699
Ac 5.192 -0.183 3.600
Ac 0.902 -5.139 -2.873
Ac 1.549 -4.256 0.794
Ge 2.281 0.889 4.215
Ge 1.445 -1.834 -1.786
Ge 3.577 -3.275 3.002
Ge 1.049 -7.028 2.306
Ge 6.224 2.797 3.069
S 5.393 -0.449 -0.006

10
Lattice="5.572 0.000 2.688 2.786 6.930 1.344 -0.224 0.000 7.586" Properties=species:S:1:pos:R:3 comment="Ac5GeS4 (PBE, relaxed)" e_tot_ev_per_atom=-5.960 density_g_cm3=7.47 pbc="T T T"
S 1.578 1.375 3.864
S 3.165 2.795 7.694
S 6.568 5.556 7.759
S 4.981 4.135 3.929
Ac 2.188 4.145 2.599
Ac 3.778 5.539 6.424
Ac 2.792 0.000 1.347
Ac 5.958 2.785 9.024
Ac 4.368 1.391 5.199
Ge 0.005 0.000 0.002

15
Lattice="-2.353 -3.660 -0.237 6.770 -4.833 7.413 -9.004 5.565 3.478" Properties=species:S:1:pos:R:3 comment="Ac8GeS6 (PBE, relaxed)" e_tot_ev_per_atom=-5.624 density_g_cm3=7.38 pbc="T T T"
Ac -6.740 2.836 2.689
Ac 2.152 -5.764 7.966
Ac -5.512 -0.646 4.612
Ac -1.587 -0.512 3.227
Ac -4.713 1.172 8.271
Ac 0.125 -4.099 2.383
Ac -3.001 -2.416 7.427
Ac 0.924 -2.281 6.042
Ge -1.177 -1.830 -0.118
S -2.929 0.201 5.982
S -1.659 -3.129 4.672
S -4.079 1.158 2.623
S 1.405 -5.125 5.068
S -0.509 -4.086 8.032
S -5.993 2.197 5.586

11
Lattice="6.080 -0.083 -0.120 -0.706 7.318 0.654 -0.706 -1.958 7.082" Properties=species:S:1:pos:R:3 comment="Ac2Ge2S7 (PBE, relaxed)" e_tot_ev_per_atom=-5.245 density_g_cm3=4.25 pbc="T T T"
Ge -0.647 4.115 5.938
Ge 5.313 1.163 1.678
S 0.520 2.427 6.783
S 4.147 -0.222 2.961
S 0.000 0.000 0.000
S 0.920 2.060 2.973
S 3.746 3.217 4.643
S 0.520 5.499 4.654
S 4.147 2.850 0.832
Ac 2.333 0.646 5.189
Ac 2.333 4.631 2.427

20
Lattice="-3.443 5.515 -2.486 -2.821 -4.425 -5.912 -7.258 -2.621 5.425" Properties=species:S:1:pos:R:3 comment="AcGeS3 (PBE, relaxed)" relative_energy_mev_per_atom=0.0 density_g_cm3=5.07 pbc="T T T"
Ac -6.878 1.888 -4.746
Ac -4.035 1.748 -0.712
Ac -9.487 -3.279 -2.260
Ac -6.644 -3.420 1.774
S -7.820 -1.153 -4.015
S -8.865 -0.672 -0.703
S -9.365 -4.651 0.703
S -4.845 -4.206 -4.960
S -6.530 -3.763 -1.298
S -6.992 2.232 -1.674
S -4.656 -0.860 -2.270
S -8.528 -1.253 3.061
S -4.994 -0.279 -6.033
S -5.701 -0.379 1.042
S -8.677 2.674 1.988
S -4.157 3.119 -3.675
Ge -3.678 -0.521 -4.224
Ge -9.861 -0.379 -4.498
Ge -3.661 -1.152 1.526
Ge -9.843 -1.011 1.252

7
Lattice="6.289 0.001 0.000 -3.027 5.512 0.000 -1.631 -2.756 5.412" Properties=species:S:1:pos:R:3 comment="AcGe2S4 (PBE, relaxed)" e_tot_ev_per_atom=-4.866 density_g_cm3=4.43 pbc="T T T"
S 4.092 1.301 0.778
S 0.961 3.152 2.859
S 0.669 -0.396 2.553
S -2.461 1.456 4.634
Ac 1.631 2.756 0.000
Ge -1.514 2.756 2.706
Ge 3.144 0.000 2.706

12
Lattice="4.676 0.000 1.555 2.118 8.420 1.438 -0.209 -0.336 8.434" Properties=species:S:1:pos:R:3 comment="Ac4GeS7 (PBE, relaxed)" e_tot_ev_per_atom=-5.923 density_g_cm3=5.96 pbc="T T T"
S 2.338 0.000 0.778
S 1.871 5.936 2.180
S 4.714 2.148 9.247
S 1.209 1.011 4.172
S 5.376 7.073 7.254
S 3.826 3.581 4.110
S 2.759 4.503 7.317
Ac 4.665 5.290 9.392
Ac 3.505 6.413 5.075
Ac 3.080 1.671 6.352
Ac 1.920 2.794 2.035
Ge 0.000 0.000 0.000

32
Lattice="8.569 0.000 -2.431 0.000 8.959 0.000 -0.597 0.000 11.899" Properties=species:S:1:pos:R:3 comment="Ac2GeS5 (PBE, relaxed)" relative_energy_mev_per_atom=0.0 density_g_cm3=5.07 pbc="T T T"
Ge 4.340 3.715 2.334
Ge 7.916 8.194 5.918
Ge 0.055 0.765 3.550
Ge 3.632 5.244 7.133
S 6.207 0.491 5.123
S -0.038 6.324 7.360
S 6.049 4.970 3.129
S 2.741 5.309 2.642
S 5.231 3.650 6.825
S -0.097 3.397 10.454
S 3.784 7.876 0.229
S 8.009 2.635 2.107
S 8.068 5.562 -0.987
S 8.031 7.918 8.147
S 7.025 8.130 1.427
S 3.746 5.520 9.362
S -0.059 1.041 1.321
S 3.725 1.845 3.323
S 0.946 0.829 8.041
S 4.225 3.439 0.105
S 4.188 1.083 9.239
S 1.922 3.988 6.338
S 1.765 8.468 4.345
S 4.247 7.114 6.145
Ac 1.698 1.134 10.958
Ac 0.274 5.706 4.311
Ac 3.413 1.227 6.372
Ac 1.989 5.613 -0.275
Ac 7.698 3.253 5.157
Ac 5.982 3.346 9.742
Ac 6.274 7.825 -1.490
Ac 4.558 7.732 3.095

4
Lattice="-3.949 -0.550 2.127 3.787 -1.697 1.790 2.446 7.122 1.581" Properties=species:S:1:pos:R:3 comment="Ac2GeS (PBE, relaxed)" relative_energy_mev_per_atom=37.9 density_g_cm3=7.25 pbc="T T T"
Ge 3.116 2.712 1.686
Ac 0.805 4.633 2.691
Ac 1.478 0.242 2.807
S -3.949 -0.550 2.127

4
Lattice="-3.686 -2.263 -0.968 -0.272 -4.315 0.978 -4.186 -0.457 6.863" Properties=species:S:1:pos:R:3 comment="Ac2GeS (PBE, relaxed)" relative_energy_mev_per_atom=147.8 density_g_cm3=7.14 pbc="T T T"
Ac -3.494 -0.876 5.207
Ac -1.995 -1.784 1.619
S -4.095 -3.504 3.490
Ge -6.819 -4.846 6.857

4
Lattice="3.732 0.000 0.000 0.000 3.732 0.000 0.000 0.000 7.909" Properties=species:S:1:pos:R:3 comment="Ac2GeS (PBE, relaxed)" relative_energy_mev_per_atom=280.8 density_g_cm3=8.42 pbc="T T T"
S 1.866 1.866 3.955
Ac 0.000 0.000 2.018
Ac 0.000 0.000 5.891
Ge 1.866 1.866 0.000

16
Lattice="6.312 0.000 0.000 0.000 6.307 -0.244 0.000 0.494 12.719" Properties=species:S:1:pos:R:3 comment="Ac2GeS (PBE, relaxed)" relative_energy_mev_per_atom=0.0 density_g_cm3=7.32 pbc="T T T"
S 1.575 6.738 10.884
S 4.737 3.338 4.647
S 4.737 0.062 1.590
S 1.575 3.462 7.827
Ac 1.581 6.368 1.332
Ac 4.731 3.461 7.814
Ac 1.581 3.339 4.661
Ac 1.575 3.584 10.993
Ac 4.737 3.216 1.481
Ac 4.737 6.491 4.512
Ac 4.731 0.433 11.142
Ac 1.575 0.309 7.963
Ge 1.581 0.185 4.770
Ge 4.731 3.586 11.007
Ge 4.731 6.615 7.704
Ge 1.581 3.215 1.467

6
Lattice="4.134 0.000 -1.725 -1.234 5.506 -2.958 0.827 0.689 7.797" Properties=species:S:1:pos:R:3 comment="Ac3Ge2S (PBE, relaxed)" e_tot_ev_per_atom=-5.413 density_g_cm3=7.30 pbc="T T T"
Ac 1.450 2.753 -2.341
Ac 0.736 1.112 1.763
Ac 2.991 5.082 1.351
Ge 0.137 3.893 0.328
Ge 3.590 2.301 2.786
S 2.067 0.000 -0.863

4
Lattice="5.422 0.000 0.000 2.711 4.696 0.000 2.711 1.565 4.427" Properties=species:S:1:pos:R:3 comment="Ac2GeS (PBE, relaxed)" relative_energy_mev_per_atom=331.4 density_g_cm3=8.23 pbc="T T T"
Ge 5.422 3.130 2.213
S 0.000 0.000 0.000
Ac 2.711 1.565 1.107
Ac 8.133 4.696 3.320

26
Lattice="-3.704 -1.065 2.021 3.003 -6.271 -2.488 12.871 -2.591 22.225" Properties=species:S:1:pos:R:3 comment="Ac7GeS5 (PBE, relaxed)" e_tot_ev_per_atom=-5.797 density_g_cm3=7.63 pbc="T T T"
Ge 2.073 -5.284 5.700
Ge 10.098 -4.650 16.059
Ac 8.070 -2.855 13.286
Ac -1.073 -2.493 1.405
Ac 9.444 -6.899 18.359
Ac 7.880 -2.932 17.585
Ac 4.434 -3.595 10.918
Ac 11.670 -3.567 19.510
Ac 4.289 -7.003 4.171
Ac 2.726 -3.037 3.396
Ac 4.101 -7.079 8.471
Ac 7.737 -6.340 10.839
Ac 0.500 -6.370 2.245
Ac 13.243 -7.444 20.350
Ac 7.590 -6.545 15.148
Ac 4.581 -3.389 6.610
S 1.531 -3.896 0.753
S 2.873 -2.089 8.851
S 9.297 -7.844 12.906
S 6.010 -5.113 13.007
S 0.073 -1.546 4.005
S 6.161 -4.822 8.750
S 10.639 -6.041 21.002
S 6.436 -1.299 11.112
S 12.871 -2.596 22.224
S 12.097 -8.390 17.750

15
Lattice="-0.856 -5.048 -4.954 -1.120 -4.999 4.951 -7.043 1.055 -0.193" Properties=species:S:1:pos:R:3 comment="AcGe6S8 (PBE, relaxed)" e_tot_ev_per_atom=-4.792 density_g_cm3=4.23 pbc="T T T"
Ge -6.552 -4.495 -1.397
Ge -2.467 -4.497 1.201
Ge -4.251 -6.818 -0.732
Ge -3.180 -3.713 -1.963
Ge -5.839 -5.279 1.767
Ge -4.768 -2.174 0.536
Ac 0.000 0.000 0.000
S -3.129 -7.500 1.313
S -5.488 -5.028 -3.516
S -3.531 -3.963 3.320
S -6.691 -6.671 -0.146
S -1.725 -5.657 -2.053
S -5.890 -1.492 -1.509
S -2.328 -2.321 -0.051
S -7.294 -3.334 1.857

8
Lattice="-0.746 -5.704 3.865 6.520 0.671 2.251 -4.248 4.887 0.178" Properties=species:S:1:pos:R:3 comment="Ac2GeS5 (PBE, relaxed)" relative_energy_mev_per_atom=195.1 density_g_cm3=5.61 pbc="T T T"
Ge 1.618 -0.307 6.073
Ac -1.054 -1.666 3.551
Ac 2.579 1.521 2.744
S 1.282 -1.057 1.594
S 0.885 -4.092 3.651
S 4.751 -0.700 2.793
S 4.354 -3.735 4.849
S 2.316 -1.522 4.413

23
Lattice="-1.332 3.060 -4.918 9.932 -1.812 -3.818 -7.967 -6.952 -2.168" Properties=species:S:1:pos:R:3 comment="Ac6Ge3S14 (PBE, relaxed)" e_tot_ev_per_atom=-5.776 density_g_cm3=5.62 pbc="T T T"
S -1.628 -5.169 -6.231
S -1.632 -2.116 -4.330
S 5.141 -0.299 -6.816
S -7.245 -3.732 -7.355
S -4.665 -4.014 -4.690
S 3.957 -0.726 -3.296
S -2.312 1.336 -5.538
S -0.337 -4.380 -9.630
S 5.470 -3.792 -5.614
S 1.191 -0.261 -5.722
S -3.285 -2.288 -7.460
S 1.483 -3.793 -4.535
S -0.606 1.391 -2.236
S 2.651 -3.323 -8.022
Ge 3.313 -2.026 -5.677
Ge -1.099 2.525 -4.058
Ge -2.447 -4.213 -4.367
Ac 3.157 -5.693 -6.141
Ac 1.051 -1.306 -2.840
Ac -4.504 -5.263 -7.451
Ac -0.122 -2.653 -7.015
Ac 6.720 -1.349 -4.403
Ac -4.378 -0.903 -4.773